20
Lattice="-4.316 -2.479 3.909 4.494 -3.487 2.750 1.551 6.599 5.834" Properties=species:S:1:pos:R:3 comment="K2BaIO6 | the Alexandria database | GGA-PBE | relaxed" crystal_system=monoclinic raw_formation_energy_ev_per_fu=-13.1 pbc="T T T"
K 4.797 -1.798 4.170
K 1.308 1.897 7.753
K -3.068 2.430 8.323
K 0.421 -1.264 4.740
Ba -2.158 -1.240 1.955
Ba 3.022 1.556 4.292
I -1.382 2.060 4.872
I 2.247 -1.743 1.375
O 2.109 -2.803 2.945
O 1.309 -1.195 8.173
O -0.380 3.435 9.548
O 0.420 1.828 4.320
O 2.785 -0.348 6.092
O 1.280 1.807 10.888
O -1.056 0.981 6.401
O 0.449 -1.174 1.605
O -1.466 -2.756 6.331
O 3.607 0.122 8.603
O 3.195 3.389 6.161
O -1.878 0.511 3.890


19
Lattice="-4.964 3.814 5.252 -3.927 -9.214 -3.377 6.373 -2.944 8.162" Properties=species:S:1:pos:R:3 comment="Ac12In2Pb5 | the Alexandria database | GGA-PBE | relaxed" energy_ev_per_atom=-4.0876 crystal_system=monoclinic pbc="T T T"
Ac -7.474 -5.621 3.375
Ac 2.749 -8.393 5.582
Ac 0.319 -6.527 8.153
Ac -0.491 -7.370 1.652
Ac -3.018 -5.428 4.326
Ac -1.802 -9.308 5.056
Ac -0.716 0.964 4.980
Ac -2.027 -0.974 8.384
Ac 0.500 -2.916 5.711
Ac -5.266 0.050 4.454
Ac -2.837 -1.817 1.884
Ac 4.956 -2.722 6.662
In -3.354 2.577 3.548
In -1.610 1.237 1.704
Pb 0.234 -6.237 4.750
Pb -3.046 -5.193 0.893
Pb 3.187 -1.472 4.081
Pb 0.528 -3.150 9.143
Pb -2.751 -2.107 5.286


13
Lattice="0.596 -6.639 -6.121 6.372 -1.766 -6.179 3.751 -4.409 3.045" Properties=species:S:1:pos:R:3 comment="Pt3Br8Cl2 | the Alexandria database | GGA-PBE | relaxed" crystal_system=monoclinic raw_formation_energy_ev_per_fu=-1.0 pbc="T T T"
Pt 1.875 -2.205 1.522
Pt 4.839 -3.060 -6.163
Pt 2.130 -5.346 -6.136
Br 6.190 -7.362 -2.168
Br 4.530 -5.453 -7.087
Br 9.641 -11.526 -8.412
Br 1.079 -1.288 -0.843
Br 4.935 -8.917 -5.231
Br 7.897 -6.417 -5.261
Br 2.822 -6.398 -3.994
Br 5.784 -3.898 -4.024
Cl 6.066 -7.287 -8.209
Cl 4.653 -5.527 -1.046